Record 1
VASP calculation (PBE) on a relaxed structure of NpPS3.

Crystal system   orthorhombic
Space-group type   Ima2
Calculated total energy   -65.53 eV for the cell shown
E_form (uncorrected)   -39.2 kJ/mol of atoms

Cell and atoms, written as POSCAR:
```
NpPS3
1.0
-1.141 2.337 6.160
-3.478 -5.702 -0.306
6.367 -1.392 -1.492
S P Np
6 2 2
Direct
0.538 0.337 0.280
0.538 0.758 0.701
0.057 0.837 0.299
0.133 0.788 0.845
0.943 0.288 0.155
0.057 0.258 0.720
0.522 0.972 0.050
0.922 0.472 0.950
0.334 0.304 0.531
0.773 0.804 0.469
```

Record 2
VASP calculation (PBE) on a relaxed structure of TiGa2Ag.

Crystal system   cubic
Formation enthalpy at 0 K   -0.0670 eV/atom
Space-group type   Fm-3m
Calculated total energy   -17.07 eV for the cell shown
Energy relative to the lowest polymorph listed for this composition   0.2001 eV/atom

Cell and atoms, written as POSCAR:
```
TiGa2Ag
1.0
0.000 3.217 3.217
3.217 0.000 3.217
3.217 3.217 0.000
Ga Ti Ag
2 1 1
Direct
0.250 0.250 0.250
0.750 0.750 0.750
0.000 0.000 0.000
0.500 0.500 0.500
```

Record 3
VASP calculation (PBE) on a relaxed structure of Cd2GaPb.

Crystal system   trigonal
Formation enthalpy at 0 K   0.0786 eV/atom
Space-group type   R-3m
Calculated total energy   -8.25 eV for the cell shown
Energy relative to the lowest polymorph listed for this composition   0.0146 eV/atom

Cell and atoms, written as POSCAR:
```
Cd2GaPb
1.0
3.485 0.000 0.000
1.742 3.018 0.000
1.742 1.006 9.468
Cd Pb Ga
2 1 1
Direct
0.259 0.259 0.224
0.741 0.741 0.776
0.500 0.500 0.500
0.000 0.000 0.000
```

Record 4
VASP calculation (PBE) on a relaxed structure of CrNi5.

Crystal system   tetragonal
Formation enthalpy at 0 K   0.0129 eV/atom
Space-group type   P4/mmm
Calculated total energy   -38.45 eV for the cell shown

Cell and atoms, written as POSCAR:
```
CrNi5
1.0
2.473 0.000 0.000
0.000 2.473 0.000
0.000 0.000 10.722
Ni Cr
5 1
Direct
0.000 0.000 0.167
0.000 0.000 0.500
0.000 0.000 0.833
0.500 0.500 0.336
0.500 0.500 0.664
0.500 0.500 0.000
```

Record 5
VASP calculation (PBE) on a relaxed structure of YCuN2O.

Crystal system   tetragonal
Space-group type   P4/mmm
Calculated total energy   -27.52 eV for the cell shown
E_form (uncorrected)   89.7 kJ/mol of atoms

Cell and atoms, written as POSCAR:
```
YCuN2O
1.0
-2.623 2.581 2.537
-2.804 -3.430 0.590
2.209 -1.202 3.506
Y O Cu N
1 1 1 2
Direct
0.000 0.000 0.000
0.000 0.000 0.500
0.500 0.500 0.500
0.500 0.000 0.000
0.000 0.500 0.000
```

Record 6
VASP calculation (PBE) on a relaxed structure of NbO2F2.

Crystal system   tetragonal
Space-group type   P4/mmm
Calculated total energy   -33.53 eV for the cell shown
E_form (uncorrected)   -189.2 kJ/mol of atoms

Cell and atoms, written as POSCAR:
```
NbO2F2
1.0
-0.586 -1.998 3.332
3.532 1.129 1.299
-1.689 3.329 1.699
Nb O F
1 2 2
Direct
0.000 0.000 0.000
0.500 0.000 0.000
0.000 0.500 0.000
0.000 0.000 0.500
0.500 0.500 0.500
```

Record 7
VASP calculation (PBE) on a relaxed structure of Pr5NdY.

Crystal system   monoclinic
Formation enthalpy at 0 K   0.9432 eV/atom
Space-group type   C2/m
Calculated total energy   -28.53 eV for the cell shown
Energy relative to the lowest polymorph listed for this composition   0.7987 eV/atom

Cell and atoms, written as POSCAR:
```
Pr5NdY
1.0
-5.041 3.220 -0.311
-4.297 -0.507 6.882
0.427 6.670 4.627
Pr Y Nd
5 1 1
Direct
0.000 0.324 0.676
0.751 0.249 0.249
0.500 0.000 0.000
0.249 0.751 0.751
0.000 0.676 0.324
0.500 0.500 0.500
0.000 0.000 0.000
```

Record 8
VASP calculation (PBE) on a relaxed structure of ZrMnH3.

Crystal system   cubic
Space-group type   Pm-3m
Calculated total energy   -29.00 eV for the cell shown

Cell and atoms, written as POSCAR:
```
ZrMnH3
1.0
3.417 0.000 0.000
0.000 3.417 0.000
0.000 0.000 3.417
H Zr Mn
3 1 1
Direct
0.000 0.000 0.500
0.000 0.500 0.000
0.500 0.000 0.000
0.500 0.500 0.500
0.000 0.000 0.000
```

Record 9
VASP calculation (PBE) on a relaxed structure of MnAl2W.

Crystal system   monoclinic
Formation enthalpy at 0 K   -0.0207 eV/atom
Space-group type   C2/m
Calculated total energy   -29.69 eV for the cell shown
Energy relative to the lowest polymorph listed for this composition   0.1496 eV/atom

Cell and atoms, written as POSCAR:
```
MnAl2W
1.0
-2.225 1.626 -4.213
0.340 0.394 -5.007
-2.185 -3.069 -2.300
Al Mn W
2 1 1
Direct
0.017 0.017 0.984
0.483 0.483 0.516
0.750 0.750 0.750
0.250 0.250 0.250
```

Record 10
VASP calculation (PBE) on a relaxed structure of Na2LiTlF4.

Crystal system   orthorhombic
Space-group type   Cmcm
Calculated total energy   -68.93 eV for the cell shown
E_form (uncorrected)   -241.9 kJ/mol of atoms

Cell and atoms, written as POSCAR:
```
Na2LiTlF4
1.0
3.418 0.000 0.000
-1.709 5.914 0.000
0.000 0.000 11.544
Na F Li Tl
4 8 2 2
Direct
0.369 0.739 0.957
0.631 0.261 0.043
0.631 0.261 0.457
0.369 0.739 0.543
0.000 0.000 0.000
0.746 0.493 0.883
0.746 0.493 0.617
0.254 0.507 0.383
0.254 0.507 0.117
0.592 0.183 0.250
0.000 0.000 0.500
0.408 0.817 0.750
0.165 0.329 0.250
0.835 0.671 0.750
0.106 0.211 0.750
0.894 0.789 0.250
```

Record 11
VASP calculation (PBE) on a relaxed structure of BaLiGe.

Crystal system   triclinic
Formation enthalpy at 0 K   -0.3806 eV/atom
Space-group type   P1
Calculated total energy   -19.19 eV for the cell shown

Cell and atoms, written as POSCAR:
```
BaLiGe
1.0
-2.830 -1.606 3.151
4.590 -0.025 4.080
-1.308 6.623 -1.049
Li Ba Ge
2 2 2
Direct
0.299 0.304 0.416
0.112 0.987 0.045
0.804 0.800 0.429
0.023 0.407 0.860
0.505 0.914 0.831
0.691 0.241 0.200
```

> Which of these has the highest calculated total energy?

Cd2GaPb

> Number 1 is which compound?

NpPS3